LiV3CrO8 after structural relaxation. Source: Alexandria via LeMat-Bulk, functional GGA+U.

Calculated values
- space-group type = P1 (1)
- DFT total energy (eV/atom) = -7.435

Cell and atoms, written as POSCAR:
```
LiV3CrO8
1.0
5.507 0.000 0.000
-1.864 5.770 0.000
-2.146 -2.081 9.759
Li V Cr O
2 6 2 16
direct
0.000 0.000 0.000 Li
0.498 0.754 0.499 Li
0.104 0.374 0.636 V
0.388 0.754 0.883 V
0.415 0.253 0.872 V
0.616 0.611 0.136 V
0.619 0.125 0.141 V
0.928 0.007 0.378 V
0.120 0.872 0.636 Cr
0.888 0.500 0.383 Cr
0.136 0.410 0.822 O
0.144 0.931 0.838 O
0.151 0.340 0.450 O
0.153 0.830 0.441 O
0.368 0.279 0.068 O
0.368 0.788 0.068 O
0.383 0.707 0.694 O
0.390 0.210 0.693 O
0.634 0.676 0.324 O
0.638 0.156 0.321 O
0.646 0.593 0.951 O
0.654 0.079 0.946 O
0.866 0.033 0.561 O
0.868 0.450 0.183 O
0.872 0.541 0.578 O
0.890 0.956 0.188 O
```